Entry 1:
Entry from the Alexandria database: an optimized crystal structure of Sr2TaTi (GGA-PBE).

The structure in POSCAR format:
```
Sr2TaTi
1.0
8.828 0.000 0.000
0.000 8.828 0.000
0.000 0.000 6.063
Sr Ta Ti
8 4 4
Cartesian
2.183 6.621 0.758 Sr
2.207 2.183 5.305 Sr
2.207 2.231 2.273 Sr
2.231 6.621 3.789 Sr
6.597 2.207 3.789 Sr
6.621 6.597 2.273 Sr
6.621 6.645 5.305 Sr
6.645 2.207 0.758 Sr
0.000 0.000 3.031 Ta
0.000 4.414 4.547 Ta
4.414 0.000 1.516 Ta
4.414 4.414 0.000 Ta
0.000 0.000 0.000 Ti
0.000 4.414 1.516 Ti
4.414 0.000 4.547 Ti
4.414 4.414 3.031 Ti
```

## Properties
density: 5.68 Mg/m³
energy of formation from the pure elements: 5.8 eV per formula unit

***

Entry 2:
Entry from the Alexandria database: an optimized crystal structure of HfZnCd2 (GGA-PBE).

The structure in POSCAR format:
```
HfZnCd2
1.0
3.136 0.000 0.000
0.000 3.136 0.000
0.000 0.000 8.008
Hf Zn Cd
1 1 2
Cartesian
0.000 0.000 0.000 Hf
0.000 0.000 4.004 Zn
1.568 1.568 2.168 Cd
1.568 1.568 5.840 Cd
```

## Properties
density: 9.88 Mg/m³
energy of formation from the pure elements: 0.1 eV per formula unit

***

Entry 3:
Entry from the Alexandria database: an optimized crystal structure of Au3CBr (GGA-PBE).

The structure in POSCAR format:
```
Au3CBr
1.0
4.484 0.000 0.000
0.000 4.484 0.000
0.000 0.000 4.484
Au C Br
3 1 1
Cartesian
0.000 0.000 2.242 Au
0.000 2.242 0.000 Au
2.242 0.000 0.000 Au
0.000 0.000 0.000 C
2.242 2.242 2.242 Br
```

## Properties
E_form (uncorrected): 0.951 eV/atom
density: 12.58 Mg/m³

***

no.,calculated total energy (eV/atom),total magnetization (μB/atom)
1,-4.3383,0.744
2,-3.2469,0.000
3,-3.1944,0.000